## 1
# Hf3ZnH, relaxed, DFT PBE-GGA
data_Hf3ZnH
_chemical_formula_sum 'Hf12 Zn4 H4'
_cell_length_a 8.766
_cell_length_b 6.988
_cell_length_c 5.567
_cell_angle_alpha 90.00
_cell_angle_beta 90.00
_cell_angle_gamma 90.00
_space_group_name_H-M_alt 'C m c m'
_space_group_IT_number 63
_space_group_name_Hall '-C 2c 2'
loop_
_atom_site_label
_atom_site_type_symbol
_atom_site_fract_x
_atom_site_fract_y
_atom_site_fract_z
_atom_site_occupancy
Hf1 Hf 0.000 0.000 0.000 1
Hf2 Hf 0.200 0.358 0.250 1
Zn1 Zn 0.000 0.338 0.750 1
H1 H 0.000 0.213 0.250 1
# Volume = 341.03 Å³ per cell
# Theoretical density = 11723 kg/m3
# Spin magnetization = 0.000 μB per formula unit

## 2
# Hf3ZnH, relaxed, DFT PBE-GGA
data_Hf3ZnH
_chemical_formula_sum 'Hf3 Zn1 H1'
_cell_length_a 4.341
_cell_length_b 4.341
_cell_length_c 4.341
_cell_angle_alpha 90.00
_cell_angle_beta 90.00
_cell_angle_gamma 90.00
_space_group_name_H-M_alt 'P m -3 m'
_space_group_IT_number 221
_space_group_name_Hall '-P 4 2 3'
loop_
_atom_site_label
_atom_site_type_symbol
_atom_site_fract_x
_atom_site_fract_y
_atom_site_fract_z
_atom_site_occupancy
Hf1 Hf 0.000 0.000 0.500 1
Zn1 Zn 0.500 0.500 0.500 1
H1 H 0.000 0.000 0.000 1
# Volume = 81.78 Å³ per cell
# Theoretical density = 12221 kg/m3
# Spin magnetization = 0.000 μB per formula unit

Most favorable structure: 2. The second most favorable one is 6.9 kJ/mol of atoms above it.